(1)
TlInTe | PBE | relaxed

Unit cell a=4.7329 b=4.7329 c=5.4116 alpha=90.00 beta=90.00 gamma=120.00
With the nearest neighbours (Å) after each atom.
Atoms (fractional coordinates):
Tl 0.3333 0.6667 0.6596  3 Te 3.32, 3 In 3.39
Te 0.6667 0.3333 0.3115  3 In 3.13, 3 Tl 3.32
In 0.0000 0.0000 0.0289  3 Te 3.13, 3 Tl 3.39

* space group: P3m1, No. 156
* formation energy (no corrections): -0.24 eV per atom
* energy above the lowest structure with this stoichiometry: 1 kJ/mol of formula units

(2)
Tl8In2Te | PBE | relaxed

Unit cell a=5.3383 b=8.3280 c=9.2981 alpha=116.72 beta=106.82 gamma=89.83
With the nearest neighbours (Å) after each atom.
Atoms (fractional coordinates):
In 0.4734 0.2971 0.5860  8 Tl 3.23-3.57
In 0.8009 0.6205 0.2336  8 Tl 3.24-3.57
Tl 0.9834 0.0343 0.6005  1 Te 3.44, 3 In 3.46-3.50, 8 Tl 3.48-3.74
Tl 0.9303 0.4583 0.5012  3 In 3.23-3.24, 6 Tl 3.42-3.49
Tl 0.6378 0.2174 0.9095  2 In 3.24, 8 Tl 3.47-3.62
Tl 0.2901 0.3418 0.2178  1 Te 3.44, 3 In 3.47-3.51, 8 Tl 3.47-3.73
Tl 0.3420 0.8675 0.3171  3 In 3.24, 6 Tl 3.42-3.49
Tl 0.1373 0.5034 0.9101  1 Te 3.26, 6 Tl 3.47-3.58
Tl 0.5037 0.7516 0.6450  2 Te 3.38, 7 Tl 3.42-3.73, 1 In 3.57
Tl 0.7661 0.0137 0.1712  2 Te 3.37-3.38, 7 Tl 3.42-3.74, 1 In 3.57
Te 0.1353 0.8944 0.9081  7 Tl 3.26-3.44

* space group: P1, No. 1
* formation energy (no corrections): -0.02 eV per atom

DOS(E_F) per entry: 0.0585, 0.4894 states/eV per atom